Entry 1:
Density functional theory data (PBE-GGA) for an optimized crystal structure of MnBeNiRh.

a = 4.0422 Å, b = 4.0422 Å, c = 4.0422 Å
α = 60.00°, β = 60.00°, γ = 60.00°
Closest atoms and distances in Å follow each position.
Fractional coordinates of all 4 atoms:
Ni1 0.2500 0.2500 0.2500  4 Mn 2.48, 4 Be 2.48
Mn1 0.0000 0.0000 0.0000  4 Rh 2.48, 4 Ni 2.48
Rh1 0.7500 0.7500 0.7500  4 Be 2.48, 4 Mn 2.48
Be1 0.5000 0.5000 0.5000  4 Rh 2.48, 4 Ni 2.48

For the formation energy, the calculation gives -0.27 eV/atom. Its total moment is 4.01 μB/f.u.

---

Entry 2:
Density functional theory data (PBE-GGA) for an optimized crystal structure of U2PO.

a = 3.6998 Å, b = 3.6998 Å, c = 6.3079 Å
α = 72.95°, β = 72.95°, γ = 60.00°
Closest atoms and distances in Å follow each position.
Fractional coordinates of all 4 atoms:
P1 0.0000 0.0000 0.0000  6 U 2.73
U1 0.7619 0.7619 0.7144  3 O 2.49, 3 P 2.73
U2 0.2381 0.2381 0.2856  3 O 2.49, 3 P 2.73
O1 0.5000 0.5000 0.5000  6 U 2.49

As for the formation energy without anion corrections: -1.60 eV/atom. Its total moment is 4.04 μB/f.u.

---

Entry 3:
Density functional theory data (PBE-GGA) for an optimized crystal structure of Ca3Zn8Rh3.

a = 4.3077 Å, b = 8.1735 Å, c = 8.1735 Å
α = 72.51°, β = 74.72°, γ = 74.72°
Closest atoms and distances in Å follow each position.
Fractional coordinates of all 14 atoms:
Ca1 0.5000 0.5000 0.5000  12 Zn 3.05-3.33
Ca2 0.8317 0.1683 0.1683  4 Rh 3.00-3.01, 8 Zn 3.11-3.22
Ca3 0.1683 0.8317 0.8317  4 Rh 3.00-3.01, 8 Zn 3.11-3.22
Zn1 0.6169 0.1056 0.6607  3 Rh 2.60, 3 Zn 2.63-2.74
Zn2 0.3831 0.8944 0.3393  3 Rh 2.60, 3 Zn 2.63-2.74
Zn3 0.6169 0.6607 0.1056  3 Rh 2.60, 3 Zn 2.63-2.74
Zn4 0.3831 0.3393 0.8944  3 Rh 2.60, 3 Zn 2.63-2.74
Zn5 0.8268 0.8127 0.5338  1 Rh 2.54, 4 Zn 2.63-2.74
Zn6 0.1732 0.1873 0.4662  1 Rh 2.54, 4 Zn 2.63-2.74
Zn7 0.8268 0.5338 0.8127  1 Rh 2.54, 4 Zn 2.63-2.74
Zn8 0.1732 0.4662 0.1873  1 Rh 2.54, 4 Zn 2.63-2.74
Rh1 0.5000 0.0000 0.0000  4 Zn 2.60
Rh2 0.0000 0.7784 0.2216  6 Zn 2.54-2.60
Rh3 0.0000 0.2216 0.7784  6 Zn 2.54-2.60

For the formation energy, the calculation gives -0.36 eV/atom. Its total moment is 0.00 μB/f.u.

---

Entry 4:
Density functional theory data (PBE-GGA) for an optimized crystal structure of CeEuAlZn.

a = 5.2434 Å, b = 5.2434 Å, c = 5.2434 Å
α = 60.00°, β = 60.00°, γ = 60.00°
Closest atoms and distances in Å follow each position.
Fractional coordinates of all 4 atoms:
Eu1 0.7500 0.7500 0.7500  4 Zn 3.21, 4 Al 3.21
Zn1 0.0000 0.0000 0.0000  4 Eu 3.21, 4 Ce 3.21
Al1 0.5000 0.5000 0.5000  4 Ce 3.21, 4 Eu 3.21
Ce1 0.2500 0.2500 0.2500  4 Al 3.21, 4 Zn 3.21

For the formation energy, the calculation gives -0.20 eV/atom. Its total moment is 6.65 μB/f.u.

---

Entry 5:
Density functional theory data (PBE-GGA) for an optimized crystal structure of Nd2DyCd5.

a = 5.1695 Å, b = 5.1695 Å, c = 8.5702 Å
α = 107.55°, β = 107.55°, γ = 90.00°
Closest atoms and distances in Å follow each position.
Fractional coordinates of all 8 atoms:
Nd1 0.7377 0.7377 0.4754  8 Cd 3.22-3.46
Nd2 0.2623 0.2623 0.5246  8 Cd 3.22-3.46
Dy1 0.0000 0.0000 0.0000  8 Cd 3.13
Cd1 0.5000 0.5000 0.0000  8 Cd 3.13
Cd2 0.8860 0.3860 0.7719  2 Dy 3.13, 2 Cd 3.13, 4 Nd 3.22-3.46
Cd3 0.3860 0.8860 0.7719  2 Cd 3.13, 2 Dy 3.13, 4 Nd 3.22-3.46
Cd4 0.1140 0.6140 0.2281  2 Dy 3.13, 2 Cd 3.13, 4 Nd 3.22-3.46
Cd5 0.6140 0.1140 0.2281  2 Cd 3.13, 2 Dy 3.13, 4 Nd 3.22-3.46

For the formation energy, the calculation gives -0.30 eV/atom. Its total moment is 0.27 μB/f.u.

---

Entry 6:
Density functional theory data (PBE-GGA) for an optimized crystal structure of YMg2IrO8.

a = 4.7559 Å, b = 4.4567 Å, c = 6.6050 Å
α = 90.00°, β = 90.00°, γ = 90.50°
Closest atoms and distances in Å follow each position.
Fractional coordinates of all 12 atoms:
Y1 0.0000 0.0000 0.5000  6 O 2.30-2.34
Mg1 0.5000 0.5000 0.7619  6 O 2.05-2.12
Mg2 0.5000 0.5000 0.2381  6 O 2.05-2.12
Ir1 0.0000 0.0000 0.0000  6 O 1.88-1.91
O1 0.1432 0.7537 0.2124  1 Ir 1.91, 1 Mg 2.05
O2 0.6721 0.7608 0.0000  1 Ir 1.88
O3 0.8568 0.2463 0.2123  1 Ir 1.91, 1 Mg 2.05
O4 0.8568 0.2463 0.7876  1 Ir 1.91, 1 Mg 2.05
O5 0.3279 0.2392 0.0000  1 Ir 1.88
O6 0.1432 0.7537 0.7877  1 Ir 1.91, 1 Mg 2.05
O7 0.5621 0.7556 0.5000  2 Mg 2.09, 1 O 2.26
O8 0.4379 0.2444 0.5000  2 Mg 2.09, 1 O 2.26

As for the formation energy without anion corrections: -1.65 eV/atom. Its total moment is 0.00 μB/f.u.